# Th2AgSn

A geometry-optimized Th2AgSn structure (PBE-GGA, the Alexandria database).

```
8
Lattice="4.3877 0.0000 0.0000 0.0000 6.3831 0.0839 0.0000 -3.0754 8.1284" Properties=species:S:1:pos:R:3 pbc="T T T"
Th 3.2908 -0.0689 3.5713
Sn 1.0969 1.5093 1.7090
Sn 3.2908 1.7984 6.5034
Th 1.0969 3.3766 4.6411
Ag 1.0969 0.0944 5.8243
Ag 3.2908 3.2133 2.3881
Th 3.2908 -1.4991 7.4143
Th 1.0969 4.8068 0.7980
```

Properties
The total energy is -5.72 eV per atom. As for the total moment: 0.00 μB/f.u. Its symmetry is P2_1/m, No. 11. The formation energy comes out at -0.30 eV/atom.